# 1
# PBE Ho2SbAs, optimized geometry
data_Ho2SbAs
_space_group_name_H-M_alt 'R -3 m'
_space_group_IT_number 166
_space_group_name_Hall '-R 3 2"'
_cell_length_a 4.2142
_cell_length_b 4.2142
_cell_length_c 20.9211
_cell_angle_alpha 90.00
_cell_angle_beta 90.00
_cell_angle_gamma 120.00
loop_
_atom_site_label
_atom_site_fract_x
_atom_site_fract_y
_atom_site_fract_z
Ho1 0.0000 0.0000 0.2441
Sb1 0.0000 0.0000 0.0000
As1 0.0000 0.0000 0.5000
# Raw total energy, eV/atom: -5.786
# Formation energy without anion corrections, eV/atom: -1.3038
# DOS at the Fermi energy, states/eV/cell: 2.0

---

# 2
# PBE HoSbAs, optimized geometry
data_HoSbAs
_space_group_name_H-M_alt 'C m m e'
_space_group_IT_number 67
_space_group_name_Hall '-C 2a 2'
_cell_length_a 6.0100
_cell_length_b 6.3405
_cell_length_c 8.1105
_cell_angle_alpha 90.00
_cell_angle_beta 90.00
_cell_angle_gamma 90.00
loop_
_atom_site_label
_atom_site_fract_x
_atom_site_fract_y
_atom_site_fract_z
Ho1 0.0000 0.2500 0.1677
Sb1 0.0000 0.0000 0.5000
As1 0.0000 0.2500 0.8177
# Raw total energy, eV/atom: -5.184
# Formation energy without anion corrections, eV/atom: -0.7345
# DOS at the Fermi energy, states/eV/cell: 3.0

---

# 3
# PBE Ho4Sb3As, optimized geometry
data_Ho4Sb3As
_space_group_name_H-M_alt 'C m m m'
_space_group_IT_number 65
_space_group_name_Hall '-C 2 2'
_cell_length_a 8.6280
_cell_length_b 12.1729
_cell_length_c 4.2936
_cell_angle_alpha 90.00
_cell_angle_beta 90.00
_cell_angle_gamma 90.00
loop_
_atom_site_label
_atom_site_fract_x
_atom_site_fract_y
_atom_site_fract_z
Ho1 0.0000 0.2437 0.0000
Ho2 0.2383 0.0000 0.5000
Sb1 0.0000 0.5000 0.0000
Sb2 0.2500 0.2500 0.5000
As1 0.0000 0.0000 0.0000
# Raw total energy, eV/atom: -5.612
# E above lowest polymorph, eV per atom: 0.000
# Formation energy without anion corrections, eV/atom: -1.1957
# DOS at the Fermi energy, states/eV/cell: 2.2

---

# 4
# PBE Ho7SbAs5, optimized geometry
data_Ho7SbAs5
_space_group_name_H-M_alt 'C m c m'
_space_group_IT_number 63
_space_group_name_Hall '-C 2c 2'
_cell_length_a 4.1224
_cell_length_b 13.4679
_cell_length_c 24.1712
_cell_angle_alpha 90.00
_cell_angle_beta 90.00
_cell_angle_gamma 90.00
loop_
_atom_site_label
_atom_site_fract_x
_atom_site_fract_y
_atom_site_fract_z
Ho1 0.0000 0.0307 0.2500
Ho2 0.0000 0.1364 0.5347
Ho3 0.0000 0.3246 0.1752
Ho4 0.0000 0.4088 0.6052
Sb1 0.0000 0.2995 0.7500
As1 0.0000 0.0432 0.6424
As2 0.0000 0.2283 0.0734
As3 0.0000 0.5000 0.0000
# Raw total energy, eV/atom: -5.926
# Formation energy without anion corrections, eV/atom: -1.3552
# DOS at the Fermi energy, states/eV/cell: 19.0

---

# 5
# PBE Ho6Sb5As, optimized geometry
data_Ho6Sb5As
_space_group_name_H-M_alt 'C 1 2/m 1'
_space_group_IT_number 12
_cell_length_a 7.4999
_cell_length_b 12.9743
_cell_length_c 7.4885
_cell_angle_alpha 90.00
_cell_angle_beta 109.49
_cell_angle_gamma 90.00
loop_
_space_group_symop_operation_xyz
'x,y,z'
'-x,-y,-z'
'-x,y,-z'
'x,-y,z'
'x+1/2,y+1/2,z'
'-x+1/2,-y+1/2,-z'
'-x+1/2,y+1/2,-z'
'x+1/2,-y+1/2,z'
loop_
_atom_site_label
_atom_site_fract_x
_atom_site_fract_y
_atom_site_fract_z
Ho1 0.2393 0.0000 0.2533
Ho2 0.2415 0.1610 0.7425
Sb1 0.0000 0.1709 0.0000
Sb2 0.0000 0.3341 0.5000
Sb3 0.0000 0.5000 0.0000
As1 0.0000 0.0000 0.5000
# Raw total energy, eV/atom: -5.563
# Formation energy without anion corrections, eV/atom: -1.1694
# DOS at the Fermi energy, states/eV/cell: 3.9

---

# 6
# PBE Ho5Sb4As, optimized geometry
data_Ho5Sb4As
_space_group_name_H-M_alt 'I 4/m m m'
_space_group_IT_number 139
_space_group_name_Hall '-I 4 2'
_cell_length_a 4.3220
_cell_length_b 4.3220
_cell_length_c 30.4991
_cell_angle_alpha 90.00
_cell_angle_beta 90.00
_cell_angle_gamma 90.00
loop_
_atom_site_label
_atom_site_fract_x
_atom_site_fract_y
_atom_site_fract_z
Ho1 0.0000 0.0000 0.0000
Ho2 0.0000 0.0000 0.2005
Ho3 0.0000 0.0000 0.4053
Sb1 0.0000 0.0000 0.0995
Sb2 0.0000 0.0000 0.3020
As1 0.0000 0.0000 0.5000
# Raw total energy, eV/atom: -5.579
# Formation energy without anion corrections, eV/atom: -1.1761
# DOS at the Fermi energy, states/eV/cell: 2.6

---

# 7
# PBE HoScSbAs, optimized geometry
data_HoScSbAs
_space_group_name_H-M_alt 'R 3 m'
_space_group_IT_number 160
_space_group_name_Hall 'R 3 -2"'
_cell_length_a 4.0882
_cell_length_b 4.0882
_cell_length_c 20.8702
_cell_angle_alpha 90.00
_cell_angle_beta 90.00
_cell_angle_gamma 120.00
loop_
_atom_site_label
_atom_site_fract_x
_atom_site_fract_y
_atom_site_fract_z
Ho1 0.0000 0.0000 0.0000
Sc1 0.0000 0.0000 0.1824
Sb1 0.0000 0.0000 0.7634
As1 0.0000 0.0000 0.5850
# Raw total energy, eV/atom: -6.052
# Formation energy without anion corrections, eV/atom: -1.1317
# DOS at the Fermi energy, states/eV/cell: 3.0

---

# 8
# PBE Ho4SbAsSe2, optimized geometry
data_Ho4SbAsSe2
_space_group_name_H-M_alt 'P 1 2/m 1'
_space_group_IT_number 10
_cell_length_a 7.1525
_cell_length_b 4.1560
_cell_length_c 7.2414
_cell_angle_alpha 90.00
_cell_angle_beta 109.60
_cell_angle_gamma 90.00
loop_
_space_group_symop_operation_xyz
'x,y,z'
'-x,-y,-z'
'-x,y,-z'
'x,-y,z'
loop_
_atom_site_label
_atom_site_fract_x
_atom_site_fract_y
_atom_site_fract_z
Ho1 0.2444 0.0000 0.2365
Ho2 0.2541 0.5000 0.7648
Sb1 0.0000 0.0000 0.5000
As1 0.0000 0.5000 0.0000
Se1 0.5000 0.0000 0.0000
Se2 0.5000 0.5000 0.5000
# Raw total energy, eV/atom: -5.799
# Formation energy without anion corrections, eV/atom: -1.5422
# DOS at the Fermi energy, states/eV/cell: 3.4

---

# 9
# PBE Ho6Sb3AsSe2, optimized geometry
data_Ho6Sb3AsSe2
_space_group_name_H-M_alt 'C 1 2/m 1'
_space_group_IT_number 12
_cell_length_a 7.3142
_cell_length_b 12.6838
_cell_length_c 7.3118
_cell_angle_alpha 90.00
_cell_angle_beta 109.42
_cell_angle_gamma 90.00
loop_
_space_group_symop_operation_xyz
'x,y,z'
'-x,-y,-z'
'-x,y,-z'
'x,-y,z'
'x+1/2,y+1/2,z'
'-x+1/2,-y+1/2,-z'
'-x+1/2,y+1/2,-z'
'x+1/2,-y+1/2,z'
loop_
_atom_site_label
_atom_site_fract_x
_atom_site_fract_y
_atom_site_fract_z
Ho1 0.2420 0.1633 0.2367
Ho2 0.2467 0.0000 0.7605
Sb1 0.0000 0.1694 0.5000
Sb2 0.0000 0.5000 0.5000
As1 0.0000 0.0000 0.0000
Se1 0.0000 0.3341 0.0000
# Raw total energy, eV/atom: -5.695
# Formation energy without anion corrections, eV/atom: -1.4070
# DOS at the Fermi energy, states/eV/cell: 4.4

---

# 10
# PBE Ho6Sb2As3Se, optimized geometry
data_Ho6Sb2As3Se
_space_group_name_H-M_alt 'C 1 2/m 1'
_space_group_IT_number 12
_cell_length_a 18.2569
_cell_length_b 4.1747
_cell_length_c 8.4032
_cell_angle_alpha 90.00
_cell_angle_beta 103.62
_cell_angle_gamma 90.00
loop_
_space_group_symop_operation_xyz
'x,y,z'
'-x,-y,-z'
'-x,y,-z'
'x,-y,z'
'x+1/2,y+1/2,z'
'-x+1/2,-y+1/2,-z'
'-x+1/2,y+1/2,-z'
'x+1/2,-y+1/2,z'
loop_
_atom_site_label
_atom_site_fract_x
_atom_site_fract_y
_atom_site_fract_z
Ho1 0.0040 0.0000 0.2442
Ho2 0.1621 0.5000 0.0934
Ho3 0.1679 0.5000 0.5718
Sb1 0.1661 0.0000 0.8319
As1 0.0000 0.5000 0.0000
As2 0.1663 0.0000 0.3348
Se1 0.0000 0.5000 0.5000
# Raw total energy, eV/atom: -5.872
# Formation energy without anion corrections, eV/atom: -1.4429
# DOS at the Fermi energy, states/eV/cell: 4.3

---

# 11
# PBE Ho6Sb2AsSe3, optimized geometry
data_Ho6Sb2AsSe3
_space_group_name_H-M_alt 'C 1 2/m 1'
_space_group_IT_number 12
_cell_length_a 18.2088
_cell_length_b 4.1737
_cell_length_c 8.3476
_cell_angle_alpha 90.00
_cell_angle_beta 102.89
_cell_angle_gamma 90.00
loop_
_space_group_symop_operation_xyz
'x,y,z'
'-x,-y,-z'
'-x,y,-z'
'x,-y,z'
'x+1/2,y+1/2,z'
'-x+1/2,-y+1/2,-z'
'-x+1/2,y+1/2,-z'
'x+1/2,-y+1/2,z'
loop_
_atom_site_label
_atom_site_fract_x
_atom_site_fract_y
_atom_site_fract_z
Ho1 0.0024 0.0000 0.2639
Ho2 0.1604 0.5000 0.5727
Ho3 0.1617 0.5000 0.0911
Sb1 0.1674 0.0000 0.8348
As1 0.0000 0.5000 0.5000
Se1 0.0000 0.5000 0.0000
Se2 0.1685 0.0000 0.3357
# Raw total energy, eV/atom: -5.738
# Formation energy without anion corrections, eV/atom: -1.5039
# DOS at the Fermi energy, states/eV/cell: 9.2

---

# 12
# PBE Ho6SbAs3Se2, optimized geometry
data_Ho6SbAs3Se2
_space_group_name_H-M_alt 'C 1 2/m 1'
_space_group_IT_number 12
_cell_length_a 18.0535
_cell_length_b 4.1320
_cell_length_c 8.2886
_cell_angle_alpha 90.00
_cell_angle_beta 103.62
_cell_angle_gamma 90.00
loop_
_space_group_symop_operation_xyz
'x,y,z'
'-x,-y,-z'
'-x,y,-z'
'x,-y,z'
'x+1/2,y+1/2,z'
'-x+1/2,-y+1/2,-z'
'-x+1/2,y+1/2,-z'
'x+1/2,-y+1/2,z'
loop_
_atom_site_label
_atom_site_fract_x
_atom_site_fract_y
_atom_site_fract_z
Ho1 0.0018 0.0000 0.2380
Ho2 0.1640 0.5000 0.0903
Ho3 0.1716 0.5000 0.5775
Sb1 0.0000 0.5000 0.5000
As1 0.0000 0.5000 0.0000
As2 0.1665 0.0000 0.3314
Se1 0.1686 0.0000 0.8364
# Raw total energy, eV/atom: -5.943
# Formation energy without anion corrections, eV/atom: -1.5670
# DOS at the Fermi energy, states/eV/cell: 7.5

---

# 13
# PBE Ho4Sb2AsSe, optimized geometry
data_Ho4Sb2AsSe
_space_group_name_H-M_alt 'P 1 2/m 1'
_space_group_IT_number 10
_cell_length_a 7.3062
_cell_length_b 4.2209
_cell_length_c 7.3344
_cell_angle_alpha 90.00
_cell_angle_beta 109.31
_cell_angle_gamma 90.00
loop_
_space_group_symop_operation_xyz
'x,y,z'
'-x,-y,-z'
'-x,y,-z'
'x,-y,z'
loop_
_atom_site_label
_atom_site_fract_x
_atom_site_fract_y
_atom_site_fract_z
Ho1 0.2405 0.0000 0.2349
Ho2 0.2488 0.5000 0.7617
Sb1 0.0000 0.0000 0.5000
Sb2 0.5000 0.5000 0.5000
As1 0.0000 0.5000 0.0000
Se1 0.5000 0.0000 0.0000
# Raw total energy, eV/atom: -5.724
# Formation energy without anion corrections, eV/atom: -1.3881
# DOS at the Fermi energy, states/eV/cell: 1.5

---

# 14
# PBE SmHoSbAs, optimized geometry
data_SmHoSbAs
_space_group_name_H-M_alt 'R 3 m'
_space_group_IT_number 160
_space_group_name_Hall 'R 3 -2"'
_cell_length_a 4.2439
_cell_length_b 4.2439
_cell_length_c 21.7810
_cell_angle_alpha 90.00
_cell_angle_beta 90.00
_cell_angle_gamma 120.00
loop_
_atom_site_label
_atom_site_fract_x
_atom_site_fract_y
_atom_site_fract_z
Sm1 0.0000 0.0000 0.0000
Ho1 0.0000 0.0000 0.1810
Sb1 0.0000 0.0000 0.7601
As1 0.0000 0.0000 0.5866
# Raw total energy, eV/atom: -5.741
# Formation energy without anion corrections, eV/atom: -1.2242
# DOS at the Fermi energy, states/eV/cell: 2.3

---

# 15
# PBE TbHoSbAs, optimized geometry
data_TbHoSbAs
_space_group_name_H-M_alt 'R 3 m'
_space_group_IT_number 160
_space_group_name_Hall 'R 3 -2"'
_cell_length_a 4.2099
_cell_length_b 4.2099
_cell_length_c 21.5907
_cell_angle_alpha 90.00
_cell_angle_beta 90.00
_cell_angle_gamma 120.00
loop_
_atom_site_label
_atom_site_fract_x
_atom_site_fract_y
_atom_site_fract_z
Tb1 0.0000 0.0000 0.0000
Ho1 0.0000 0.0000 0.1811
Sb1 0.0000 0.0000 0.7587
As1 0.0000 0.0000 0.5879
# Raw total energy, eV/atom: -5.711
# Formation energy without anion corrections, eV/atom: -1.2163
# DOS at the Fermi energy, states/eV/cell: 2.4

---

# 16
# PBE Ho4SbTe2As, optimized geometry
data_Ho4SbTe2As
_space_group_name_H-M_alt 'P 1 2/m 1'
_space_group_IT_number 10
_cell_length_a 7.4245
_cell_length_b 4.2678
_cell_length_c 7.4891
_cell_angle_alpha 90.00
_cell_angle_beta 109.20
_cell_angle_gamma 90.00
loop_
_space_group_symop_operation_xyz
'x,y,z'
'-x,-y,-z'
'-x,y,-z'
'x,-y,z'
loop_
_atom_site_label
_atom_site_fract_x
_atom_site_fract_y
_atom_site_fract_z
Ho1 0.2288 0.0000 0.2223
Ho2 0.2432 0.5000 0.7699
Sb1 0.5000 0.0000 0.0000
Te1 0.0000 0.0000 0.5000
Te2 0.5000 0.5000 0.5000
As1 0.0000 0.5000 0.0000
# Raw total energy, eV/atom: -5.510
# Formation energy without anion corrections, eV/atom: -1.3391
# DOS at the Fermi energy, states/eV/cell: 3.6

---

# 17
# PBE Ho4Sb2TeAs, optimized geometry
data_Ho4Sb2TeAs
_space_group_name_H-M_alt 'P 1 2/m 1'
_space_group_IT_number 10
_cell_length_a 7.4295
_cell_length_b 4.2882
_cell_length_c 7.4542
_cell_angle_alpha 90.00
_cell_angle_beta 109.29
_cell_angle_gamma 90.00
loop_
_space_group_symop_operation_xyz
'x,y,z'
'-x,-y,-z'
'-x,y,-z'
'x,-y,z'
loop_
_atom_site_label
_atom_site_fract_x
_atom_site_fract_y
_atom_site_fract_z
Ho1 0.2401 0.0000 0.2349
Ho2 0.2491 0.5000 0.7627
Sb1 0.5000 0.0000 0.0000
Sb2 0.5000 0.5000 0.5000
Te1 0.0000 0.0000 0.5000
As1 0.0000 0.5000 0.0000
# Raw total energy, eV/atom: -5.569
# Formation energy without anion corrections, eV/atom: -1.2755
# DOS at the Fermi energy, states/eV/cell: 1.6

---

# 18
# PBE Ho6Sb3TeAs2, optimized geometry
data_Ho6Sb3TeAs2
_space_group_name_H-M_alt 'C 1 2/m 1'
_space_group_IT_number 12
_cell_length_a 18.6175
_cell_length_b 4.2647
_cell_length_c 8.5781
_cell_angle_alpha 90.00
_cell_angle_beta 103.26
_cell_angle_gamma 90.00
loop_
_space_group_symop_operation_xyz
'x,y,z'
'-x,-y,-z'
'-x,y,-z'
'x,-y,z'
'x+1/2,y+1/2,z'
'-x+1/2,-y+1/2,-z'
'-x+1/2,y+1/2,-z'
'x+1/2,-y+1/2,z'
loop_
_atom_site_label
_atom_site_fract_x
_atom_site_fract_y
_atom_site_fract_z
Ho1 0.0075 0.0000 0.2603
Ho2 0.1713 0.5000 0.5741
Ho3 0.1719 0.5000 0.0994
Sb1 0.0000 0.5000 0.5000
Sb2 0.1622 0.0000 0.8325
Te1 0.0000 0.5000 0.0000
As1 0.1680 0.0000 0.3342
# Raw total energy, eV/atom: -5.648
# Formation energy without anion corrections, eV/atom: -1.2920
# DOS at the Fermi energy, states/eV/cell: 4.4

---

# 19
# PBE HoTmSbAs, optimized geometry
data_HoTmSbAs
_space_group_name_H-M_alt 'R 3 m'
_space_group_IT_number 160
_space_group_name_Hall 'R 3 -2"'
_cell_length_a 4.1754
_cell_length_b 4.1754
_cell_length_c 21.3902
_cell_angle_alpha 90.00
_cell_angle_beta 90.00
_cell_angle_gamma 120.00
loop_
_atom_site_label
_atom_site_fract_x
_atom_site_fract_y
_atom_site_fract_z
Ho1 0.0000 0.0000 0.0000
Tm1 0.0000 0.0000 0.1811
Sb1 0.0000 0.0000 0.7587
As1 0.0000 0.0000 0.5877
# Raw total energy, eV/atom: -5.643
# Formation energy without anion corrections, eV/atom: -1.1876
# DOS at the Fermi energy, states/eV/cell: 2.6

---

# 20
# PBE YHoSbAs, optimized geometry
data_YHoSbAs
_space_group_name_H-M_alt 'R 3 m'
_space_group_IT_number 160
_space_group_name_Hall 'R 3 -2"'
_cell_length_a 4.2035
_cell_length_b 4.2035
_cell_length_c 21.5517
_cell_angle_alpha 90.00
_cell_angle_beta 90.00
_cell_angle_gamma 120.00
loop_
_atom_site_label
_atom_site_fract_x
_atom_site_fract_y
_atom_site_fract_z
Y1 0.0000 0.0000 0.0000
Ho1 0.0000 0.0000 0.1811
Sb1 0.0000 0.0000 0.7584
As1 0.0000 0.0000 0.5879
# Raw total energy, eV/atom: -6.178
# Formation energy without anion corrections, eV/atom: -1.2246
# DOS at the Fermi energy, states/eV/cell: 2.6